Entry 1:
# CaSi2Ge

A geometry-optimized CaSi2Ge structure (GGA-PBE, the Alexandria database).

The space group is I-42d (No. 122) and the conventional cell measures 7.409, 7.409 and 6.205 Å, with angles of 90.00, 90.00 and 90.00 degrees. The distinct sites, in fractional coordinates, are Ca at (0.000, 0.000, 0.000), Si at (0.196, 0.250, 0.625) and Ge at (0.000, 0.000, 0.500).

The value obtained for the total magnetization is 0.0 μB/cell. The formation energy from raw total energies is -0.0249 eV/atom. The calculation puts the volume at 340.64 Å³/cell.



Entry 2:
# SN

A geometry-optimized SN structure (GGA-PBE, the Alexandria database).

The space group is I4/m (No. 87) and the conventional cell measures 10.811, 10.811 and 2.602 Å, with angles of 90.00, 90.00 and 90.00 degrees. The distinct sites, in fractional coordinates, are S at (0.091, 0.230, 0.000) and N at (0.121, 0.317, 0.500).

The value obtained for the total magnetization is 0.0 μB/cell. The formation energy from raw total energies is 0.7814 eV/atom. The calculation puts the volume at 304.15 Å³/cell.



Entry 3:
# LiGa3B

A geometry-optimized LiGa3B structure (GGA-PBE, the Alexandria database).

The space group is Pm-3m (No. 221) and the conventional cell measures 4.512, 4.512 and 4.512 Å, with angles of 90.00, 90.00 and 90.00 degrees. The distinct sites, in fractional coordinates, are Li at (0.000, 0.000, 0.000), Ga at (0.000, 0.000, 0.500) and B at (0.500, 0.500, 0.500).

The value obtained for the total magnetization is 0.0 μB/cell. For the formation energy, the calculation gives 1046 meV/atom. As for the energy above the lowest structure with this stoichiometry: 0.703 eV per atom. The calculation puts the volume at 91.87 Å³/cell.



Entry 4:
# PmGdMnRu

A geometry-optimized PmGdMnRu structure (GGA-PBE, the Alexandria database).

The space group is F-43m (No. 216) and the conventional cell measures 7.054, 7.054 and 7.054 Å, with angles of 90.00, 90.00 and 90.00 degrees. The distinct sites, in fractional coordinates, are Pm at (0.000, 0.000, 0.000), Gd at (0.000, 0.000, 0.500), Mn at (0.250, 0.250, 0.750) and Ru at (0.250, 0.250, 0.250).

The value obtained for the total magnetization is 42.0 μB/cell. For the formation energy, the calculation gives 42 meV/atom. The calculation puts the volume at 351.01 Å³/cell.



Entry 5:
# LiRe4Rh

A geometry-optimized LiRe4Rh structure (GGA-PBE, the Alexandria database).

The space group is F-43m (No. 216) and the conventional cell measures 7.282, 7.282 and 7.282 Å, with angles of 90.00, 90.00 and 90.00 degrees. The distinct sites, in fractional coordinates, are Li at (0.000, 0.000, 0.000), Re at (0.126, 0.126, 0.626) and Rh at (0.250, 0.250, 0.250).

The value obtained for the total magnetization is 0.0 μB/cell. For the formation energy, the calculation gives 469 meV/atom. The calculation puts the volume at 386.09 Å³/cell.



Entry 6:
# SbMoCl2

A geometry-optimized SbMoCl2 structure (GGA-PBE, the Alexandria database).

The space group is Fm-3m (No. 225) and the conventional cell measures 6.900, 6.900 and 6.900 Å, with angles of 90.00, 90.00 and 90.00 degrees. The distinct sites, in fractional coordinates, are Sb at (0.000, 0.000, 0.000), Mo at (0.000, 0.000, 0.500) and Cl at (0.250, 0.250, 0.250).

The value obtained for the total magnetization is 11.1 μB/cell. As for the energy above the lowest structure with this stoichiometry: 0.995 eV per atom. The formation energy from raw total energies is 0.6915 eV/atom. The calculation puts the volume at 328.45 Å³/cell.



Entry 7:
# Ca2NiSb

A geometry-optimized Ca2NiSb structure (GGA-PBE, the Alexandria database).

The space group is Imm2 (No. 44) and the conventional cell measures 3.554, 4.840 and 11.682 Å, with angles of 90.00, 90.00 and 90.00 degrees. The distinct sites, in fractional coordinates, are Ca at (0.000, 0.000, 0.000), Ca at (0.000, 0.500, 0.203), Ni at (0.000, 0.500, 0.732) and Sb at (0.000, 0.000, 0.392).

The value obtained for the total magnetization is 0.0 μB/cell. The formation energy from raw total energies is -0.4018 eV/atom. The calculation puts the volume at 200.91 Å³/cell.



Entry 8:
# CaZr2Tl

A geometry-optimized CaZr2Tl structure (GGA-PBE, the Alexandria database).

The space group is P4/mmm (No. 123) and the conventional cell measures 4.536, 4.536 and 4.795 Å, with angles of 90.00, 90.00 and 90.00 degrees. The distinct sites, in fractional coordinates, are Ca at (0.000, 0.000, 0.000), Zr at (0.000, 0.500, 0.500) and Tl at (0.500, 0.500, 0.000).

The value obtained for the total magnetization is 0.0 μB/cell. For the formation energy, the calculation gives 104 meV/atom. As for the energy above the lowest structure with this stoichiometry: 0.140 eV per atom. The calculation puts the volume at 98.67 Å³/cell.



Entry 9:
# As2SeI

A geometry-optimized As2SeI structure (GGA-PBE, the Alexandria database).

The space group is Fm-3m (No. 225) and the conventional cell measures 7.148, 7.148 and 7.148 Å, with angles of 90.00, 90.00 and 90.00 degrees. The distinct sites, in fractional coordinates, are As at (0.250, 0.250, 0.250), Se at (0.000, 0.000, 0.000) and I at (0.000, 0.000, 0.500).

The value obtained for the total magnetization is 0.0 μB/cell. As for the energy above the lowest structure with this stoichiometry: 0.233 eV per atom. The formation energy from raw total energies is 0.6349 eV/atom. The calculation puts the volume at 365.28 Å³/cell.



Entry 10:
# Ce5BN8

A geometry-optimized Ce5BN8 structure (GGA-PBE, the Alexandria database).

The space group is I-4 (No. 82) and the conventional cell measures 7.775, 7.775 and 7.358 Å, with angles of 90.00, 90.00 and 90.00 degrees. The distinct sites, in fractional coordinates, are Ce at (0.000, 0.000, 0.000), Ce at (0.218, 0.770, 0.627), B at (0.000, 0.500, 0.250), N at (0.037, 0.766, 0.846) and N at (0.052, 0.678, 0.359).

The value obtained for the total magnetization is 0.0 μB/cell. The formation energy from raw total energies is -0.8374 eV/atom. The calculation puts the volume at 444.85 Å³/cell.



Entry 11:
# Ga3PdPt12

A geometry-optimized Ga3PdPt12 structure (GGA-PBE, the Alexandria database).

The space group is P4/mmm (No. 123) and the conventional cell measures 3.964, 3.964 and 15.685 Å, with angles of 90.00, 90.00 and 90.00 degrees. The distinct sites, in fractional coordinates, are Ga at (0.000, 0.000, 0.000), Ga at (0.000, 0.000, 0.250), Pd at (0.000, 0.000, 0.500), Pt at (0.000, 0.500, 0.125), Pt at (0.000, 0.500, 0.372), Pt at (0.500, 0.500, 0.000), Pt at (0.500, 0.500, 0.249) and Pt at (0.500, 0.500, 0.500).

The value obtained for the total magnetization is 0.0 μB/cell. For the formation energy, the calculation gives -336 meV/atom. The calculation puts the volume at 246.48 Å³/cell.



Entry 12:
# Mg2Tc

A geometry-optimized Mg2Tc structure (GGA-PBE, the Alexandria database).

The space group is P-3m1 (No. 164) and the conventional cell measures 2.9676, 2.9676 and 14.5224 Å, with angles of 90.00, 90.00 and 120.00 degrees. The distinct sites, in fractional coordinates, are Mg at (0.3333, 0.6667, 0.0914), Mg at (0.3333, 0.6667, 0.7250) and Tc at (0.3333, 0.6667, 0.4340).

The value obtained for the total magnetization is 0.0 μB/cell. For the formation energy, the calculation gives 105 meV/atom. As for the energy above the lowest structure with this stoichiometry: 0.099 eV per atom. The calculation puts the volume at 110.76 Å³/cell.